Record 1
## LiMnCd2 (PBE-GGA)

Data for an optimized crystal structure of LiMnCd2.

Geometry as CIF:
```
data_LiMnCd2
_chemical_formula_sum 'Li1 Mn1 Cd2'
_symmetry_space_group_name_H-M 'P 4 m m'
_symmetry_Int_Tables_number 99
_cell_length_a 3.020
_cell_length_b 3.020
_cell_length_c 8.185
_cell_angle_alpha 90.00
_cell_angle_beta 90.00
_cell_angle_gamma 90.00
loop_
_symmetry_equiv_pos_as_xyz
'x,y,z'
'-y,x,z'
'-x,-y,z'
'y,-x,z'
'-x,y,z'
'y,x,z'
'x,-y,z'
'-y,-x,z'
loop_
_atom_site_label
_atom_site_type_symbol
_atom_site_fract_x
_atom_site_fract_y
_atom_site_fract_z
Li1 Li 0.000 0.000 0.000
Mn1 Mn 0.500 0.500 0.234
Cd1 Cd 0.000 0.000 0.473
Cd2 Cd 0.500 0.500 0.766
```

Values from the calculation:
The calculation puts the uncorrected energy at -12.33 eV per cell. The crystal system is tetragonal. The calculated density comes out at 6.38 g cm⁻³. For the energy of formation from the pure elements, the calculation gives 0.14 eV/atom.



Record 2
## Li2MnCd2 (PBE-GGA)

Data for an optimized crystal structure of Li2MnCd2.

Geometry as CIF:
```
data_Li2MnCd2
_chemical_formula_sum 'Li4 Mn2 Cd4'
_symmetry_space_group_name_H-M 'P 4/m b m'
_symmetry_Int_Tables_number 127
_symmetry_space_group_name_Hall '-P 4 2ab'
_cell_length_a 7.358
_cell_length_b 7.358
_cell_length_c 2.897
_cell_angle_alpha 90.00
_cell_angle_beta 90.00
_cell_angle_gamma 90.00
loop_
_atom_site_label
_atom_site_type_symbol
_atom_site_fract_x
_atom_site_fract_y
_atom_site_fract_z
Li1 Li 0.124 0.376 0.000
Mn1 Mn 0.000 0.000 0.000
Cd1 Cd 0.178 0.678 0.500
```

Values from the calculation:
The value obtained for the excess energy over the best structure of this formula in the dataset is 0.0 meV per atom. The calculation puts the uncorrected energy at -25.83 eV per cell. The crystal system is tetragonal. The calculated density comes out at 6.22 g cm⁻³. For the energy of formation from the pure elements, the calculation gives 0.38 eV/atom.



Record 3
## LiMn2Cd (PBE-GGA)

Data for an optimized crystal structure of LiMn2Cd.

Geometry as CIF:
```
data_LiMn2Cd
_chemical_formula_sum 'Li4 Mn8 Cd4'
_symmetry_space_group_name_H-M 'F -4 3 m'
_symmetry_Int_Tables_number 216
_symmetry_space_group_name_Hall 'F -4 2 3'
_cell_length_a 6.301
_cell_length_b 6.301
_cell_length_c 6.301
_cell_angle_alpha 90.00
_cell_angle_beta 90.00
_cell_angle_gamma 90.00
loop_
_atom_site_label
_atom_site_type_symbol
_atom_site_fract_x
_atom_site_fract_y
_atom_site_fract_z
Li1 Li 0.000 0.000 0.000
Mn1 Mn 0.000 0.000 0.500
Mn2 Mn 0.250 0.250 0.250
Cd1 Cd 0.250 0.250 0.750
```

Values from the calculation:
The calculation puts the uncorrected energy at -81.39 eV per cell. The crystal system is cubic. The calculated density comes out at 6.09 g cm⁻³. For the energy of formation from the pure elements, the calculation gives 0.21 eV/atom.



Record 4
## LiMnCd4 (PBE-GGA)

Data for an optimized crystal structure of LiMnCd4.

Geometry as CIF:
```
data_LiMnCd4
_chemical_formula_sum 'Li4 Mn4 Cd16'
_symmetry_space_group_name_H-M 'F -4 3 m'
_symmetry_Int_Tables_number 216
_symmetry_space_group_name_Hall 'F -4 2 3'
_cell_length_a 8.030
_cell_length_b 8.030
_cell_length_c 8.030
_cell_angle_alpha 90.00
_cell_angle_beta 90.00
_cell_angle_gamma 90.00
loop_
_atom_site_label
_atom_site_type_symbol
_atom_site_fract_x
_atom_site_fract_y
_atom_site_fract_z
Li1 Li 0.000 0.000 0.000
Mn1 Mn 0.250 0.250 0.750
Cd1 Cd 0.125 0.125 0.375
```

Values from the calculation:
The calculation puts the uncorrected energy at -54.75 eV per cell. The crystal system is cubic. The calculated density comes out at 6.56 g cm⁻³. For the energy of formation from the pure elements, the calculation gives 0.18 eV/atom.



Record 5
## LiMn2Cd (PBE-GGA)

Data for an optimized crystal structure of LiMn2Cd.

Geometry as CIF:
```
data_LiMn2Cd
_chemical_formula_sum 'Li4 Mn8 Cd4'
_symmetry_space_group_name_H-M 'I -4 2 d'
_symmetry_Int_Tables_number 122
_symmetry_space_group_name_Hall 'I -4 2bw'
_cell_length_a 3.440
_cell_length_b 3.440
_cell_length_c 19.142
_cell_angle_alpha 90.00
_cell_angle_beta 90.00
_cell_angle_gamma 90.00
loop_
_atom_site_label
_atom_site_type_symbol
_atom_site_fract_x
_atom_site_fract_y
_atom_site_fract_z
Li1 Li 0.000 0.000 0.000
Mn1 Mn 0.189 0.250 0.125
Cd1 Cd 0.000 0.000 0.500
```

Values from the calculation:
The calculation puts the uncorrected energy at -74.03 eV per cell. The crystal system is tetragonal. The calculated density comes out at 6.72 g cm⁻³. For the energy of formation from the pure elements, the calculation gives 0.67 eV/atom.



Record 6
## LiMn2Cd (PBE-GGA)

Data for an optimized crystal structure of LiMn2Cd.

Geometry as CIF:
```
data_LiMn2Cd
_chemical_formula_sum 'Li2 Mn4 Cd2'
_symmetry_space_group_name_H-M 'C 1 2/m 1'
_symmetry_Int_Tables_number 12
_cell_length_a 5.405
_cell_length_b 9.482
_cell_length_c 2.800
_cell_angle_alpha 90.00
_cell_angle_beta 113.67
_cell_angle_gamma 90.00
loop_
_symmetry_equiv_pos_as_xyz
'x,y,z'
'-x,-y,-z'
'-x,y,-z'
'x,-y,z'
'x+1/2,y+1/2,z'
'-x+1/2,-y+1/2,-z'
'-x+1/2,y+1/2,-z'
'x+1/2,-y+1/2,z'
loop_
_atom_site_label
_atom_site_type_symbol
_atom_site_fract_x
_atom_site_fract_y
_atom_site_fract_z
Li1 Li 0.000 0.000 0.000
Mn1 Mn 0.250 0.250 0.500
Cd1 Cd 0.000 0.500 0.000
```

Values from the calculation:
The calculation puts the uncorrected energy at -39.56 eV per cell. The crystal system is monoclinic. The calculated density comes out at 5.79 g cm⁻³. For the energy of formation from the pure elements, the calculation gives 0.35 eV/atom.



Record 7
## LiMnCd2 (PBE-GGA)

Data for an optimized crystal structure of LiMnCd2.

Geometry as CIF:
```
data_LiMnCd2
_chemical_formula_sum 'Li2 Mn2 Cd4'
_symmetry_space_group_name_H-M 'C 1 m 1'
_symmetry_Int_Tables_number 8
_cell_length_a 9.848
_cell_length_b 2.971
_cell_length_c 5.082
_cell_angle_alpha 90.00
_cell_angle_beta 98.21
_cell_angle_gamma 90.00
loop_
_symmetry_equiv_pos_as_xyz
'x,y,z'
'x,-y,z'
'x+1/2,y+1/2,z'
'x+1/2,-y+1/2,z'
loop_
_atom_site_label
_atom_site_type_symbol
_atom_site_fract_x
_atom_site_fract_y
_atom_site_fract_z
Li1 Li 0.000 0.000 0.000
Mn1 Mn 0.246 0.000 0.726
Cd1 Cd 0.003 0.500 0.518
Cd2 Cd 0.250 0.500 0.216
```

Values from the calculation:
The calculation puts the uncorrected energy at -25.18 eV per cell. The crystal system is monoclinic. The calculated density comes out at 6.47 g cm⁻³. For the energy of formation from the pure elements, the calculation gives 0.08 eV/atom.



Record 8
## LiMn2Cd (PBE-GGA)

Data for an optimized crystal structure of LiMn2Cd.

Geometry as CIF:
```
data_LiMn2Cd
_chemical_formula_sum 'Li2 Mn4 Cd2'
_symmetry_space_group_name_H-M 'C m m m'
_symmetry_Int_Tables_number 65
_symmetry_space_group_name_Hall '-C 2 2'
_cell_length_a 5.555
_cell_length_b 8.360
_cell_length_c 2.835
_cell_angle_alpha 90.00
_cell_angle_beta 90.00
_cell_angle_gamma 90.00
loop_
_atom_site_label
_atom_site_type_symbol
_atom_site_fract_x
_atom_site_fract_y
_atom_site_fract_z
Li1 Li 0.000 0.000 0.000
Mn1 Mn 0.250 0.250 0.500
Cd1 Cd 0.000 0.500 0.000
```

Values from the calculation:
The calculation puts the uncorrected energy at -39.45 eV per cell. The crystal system is orthorhombic. The calculated density comes out at 5.78 g cm⁻³. For the energy of formation from the pure elements, the calculation gives 0.36 eV/atom.



Record 9
## LiMnCd2 (PBE-GGA)

Data for an optimized crystal structure of LiMnCd2.

Geometry as CIF:
```
data_LiMnCd2
_chemical_formula_sum 'Li2 Mn2 Cd4'
_symmetry_space_group_name_H-M 'I -4 m 2'
_symmetry_Int_Tables_number 119
_symmetry_space_group_name_Hall 'I -4 -2'
_cell_length_a 4.752
_cell_length_b 4.752
_cell_length_c 6.438
_cell_angle_alpha 90.00
_cell_angle_beta 90.00
_cell_angle_gamma 90.00
loop_
_atom_site_label
_atom_site_type_symbol
_atom_site_fract_x
_atom_site_fract_y
_atom_site_fract_z
Li1 Li 0.000 0.000 0.000
Mn1 Mn 0.000 0.500 0.750
Cd1 Cd 0.000 0.000 0.500
Cd2 Cd 0.000 0.500 0.250
```

Values from the calculation:
The calculation puts the uncorrected energy at -25.22 eV per cell. The crystal system is tetragonal. The calculated density comes out at 6.55 g cm⁻³. For the energy of formation from the pure elements, the calculation gives 0.08 eV/atom.